[1]
MnAsC3 | PBE | relaxed

Results
formation energy from the elements: 2.0018 eV per atom
total magnetization: 1.1 μB per formula unit
excess energy over the best structure of this formula in the dataset: 0.00 eV per formula unit
theoretical density: 4.9 g cm⁻³
SG: No. 221

Structure (POSCAR):
```
MnAsC3
1.0
3.829 0.000 0.000
0.000 3.829 0.000
0.000 0.000 3.829
As Mn C
1 1 3
direct
0.500 0.500 0.500
0.000 0.000 0.000
0.000 0.500 0.000
0.000 0.000 0.500
0.500 0.000 0.000
```


[2]
CdCuAu14 | PBE | relaxed

Results
formation energy from the elements: -0.0177 eV per atom
total magnetization: 0.0 μB per formula unit
theoretical density: 16.9 g cm⁻³
SG: No. 38

Structure (POSCAR):
```
CdCuAu14
1.0
-3.553 3.607 3.049
-2.263 -3.211 -4.415
-1.900 -6.996 6.062
Cd Cu Au
1 1 14
direct
0.044 0.956 0.500
0.544 0.456 0.500
0.206 0.794 0.000
0.705 0.295 0.000
0.041 0.453 0.500
0.209 0.296 0.000
0.547 0.959 0.500
0.704 0.791 0.000
0.378 0.131 0.745
0.378 0.131 0.255
0.869 0.622 0.745
0.869 0.622 0.255
0.377 0.623 0.743
0.377 0.623 0.257
0.876 0.124 0.751
0.876 0.124 0.249
```


[3]
Ca3Si2HgPd9 | PBE | relaxed

Results
E_tot: -4.68 eV/atom
total magnetization: 0.0 μB per formula unit
theoretical density: 7.0 g cm⁻³
SG: No. 164

Structure (POSCAR):
```
Ca3Si2HgPd9
1.0
-1.540 -5.941 -3.809
0.388 -0.330 7.205
-6.836 1.492 0.436
Ca Si Hg Pd
3 2 1 9
direct
0.333 0.667 0.680
0.000 0.000 0.000
0.667 0.333 0.320
0.333 0.667 0.135
0.667 0.333 0.865
0.000 0.000 0.500
0.808 0.192 0.657
0.808 0.616 0.657
0.384 0.192 0.657
0.616 0.808 0.343
0.192 0.384 0.343
0.192 0.808 0.343
0.500 0.000 0.000
0.000 0.500 0.000
0.500 0.500 0.000
```


[4]
K4Pm3PuSe8 | PBE | relaxed

Results
E_tot: -5.48 eV/atom
total magnetization: 5.0 μB per formula unit
theoretical density: 4.9 g cm⁻³
SG: No. 166

Structure (POSCAR):
```
K4Pm3PuSe8
1.0
8.638 0.000 0.000
0.000 9.149 0.354
-4.319 -4.314 6.112
K Pm Pu Se
4 3 1 8
direct
0.500 0.000 0.000
0.500 0.000 0.500
0.000 0.000 0.000
0.000 0.000 0.500
0.500 0.500 0.000
0.500 0.500 0.500
0.000 0.500 0.500
0.000 0.500 0.000
0.235 0.708 0.973
0.235 0.708 0.470
0.263 0.289 0.526
0.738 0.708 0.973
0.262 0.292 0.027
0.737 0.711 0.474
0.765 0.292 0.530
0.765 0.292 0.027
```